Entry 1:
VASP calculation (meta-GGA SCAN) on a crystal of RbGaCl4 relaxed with PBEsol.

Summary:
The uncorrected formation energy is -960.1 kJ/mol of formula units. The space-group type is Pnma (62). The calculation puts the volume at 30.36 A^3/atom.

Geometry as extended XYZ:
```
24
Lattice="7.0197 0.0000 0.0000 0.0000 9.2657 0.0000 0.0000 0.0000 11.2019" Properties=species:S:1:pos:R:3 pbc="T T T"
Cl 3.5247 6.2249 10.2725
Cl 1.7549 8.9706 8.9071
Cl 5.2648 4.3378 7.8957
Cl 5.2648 0.2951 2.2947
Cl 1.7549 8.3493 1.2953
Cl 5.2648 0.9164 9.9066
Cl 1.7549 5.5493 6.8962
Cl 3.5247 7.6736 4.6716
Cl 0.0148 3.0408 0.9294
Cl 5.2648 3.7164 4.3057
Cl 1.7549 4.9279 3.3062
Cl 7.0049 6.2249 10.2725
Cl 3.4951 1.5921 6.5303
Cl 0.0148 1.5921 6.5303
Cl 7.0049 7.6736 4.6716
Cl 3.4951 3.0408 0.9294
Rb 5.2648 6.1514 2.0269
Rb 1.7549 1.5185 3.5741
Rb 5.2648 7.7472 7.6278
Rb 1.7549 3.1143 9.1750
Ga 1.7549 6.4066 4.9027
Ga 5.2648 2.8591 6.2992
Ga 5.2648 1.7737 0.6982
Ga 1.7549 7.4920 10.5036
```

Entry 2:
VASP calculation (meta-GGA SCAN) on a crystal of RbGa2Cl relaxed with PBEsol.

Summary:
The uncorrected formation energy is 41.0 kJ/mol of formula units. The space-group type is Fm-3m (225). The calculation puts the volume at 27.79 A^3/atom.

Geometry as extended XYZ:
```
4
Lattice="-2.5838 -3.7742 2.8653 -3.6161 -3.2070 -2.4019 1.1221 -5.2211 -0.7821" Properties=species:S:1:pos:R:3 pbc="T T T"
Cl 0.0000 0.0000 0.0000
Ga -3.8084 -9.1517 -0.2390
Ga -1.2695 -3.0506 -0.0797
Rb -2.5389 -6.1012 -0.1593
```

Entry 3:
VASP calculation (meta-GGA SCAN) on a crystal of GaRe3Cl relaxed with PBEsol.

Summary:
The uncorrected formation energy is 949.1 kJ/mol of formula units. The space-group type is Pm-3m (221). The calculation puts the volume at 16.06 A^3/atom.

Geometry as extended XYZ:
```
5
Lattice="-1.4806 3.9601 -0.8576 -0.7034 -1.1504 -4.0978 -3.9904 -1.2666 1.0405" Properties=species:S:1:pos:R:3 pbc="T T T"
Re -0.7403 1.9801 -0.4288
Re -1.9952 -0.6333 0.5203
Re -0.3517 -0.5752 -2.0489
Ga -3.0872 0.7715 -1.9575
Cl 0.0000 0.0000 0.0000
```

Entry 4:
VASP calculation (meta-GGA SCAN) on a crystal of GaReRuCl2 relaxed with PBEsol.

Summary:
The uncorrected formation energy is 598.0 kJ/mol of formula units. The space-group type is P4/mmm (123). The calculation puts the volume at 21.03 A^3/atom.

Geometry as extended XYZ:
```
5
Lattice="4.5560 0.0000 0.0000 0.0000 4.5560 0.0000 0.0000 0.0000 5.0668" Properties=species:S:1:pos:R:3 pbc="T T T"
Cl 2.2780 0.0000 0.0000
Cl 0.0000 2.2780 0.0000
Ru 0.0000 0.0000 0.0000
Re 2.2780 2.2780 2.5334
Ga 0.0000 0.0000 2.5334
```